Density functional theory data (meta-GGA SCAN) for a PBEsol-optimized structure of MnNb4C2S4.

- Final energy: -19.9434 eV/atom
- V: 154.5 Å³/cell
- N(E_F): 4.560 states/eV/cell
- Crystal system: monoclinic
- Formation energy without anion corrections: -0.8993 eV/atom

Unit cell a=3.272 b=5.673 c=8.532 alpha=102.60 beta=90.00 gamma=90.00
Last column: magnetic moment on the atom in μB.
Fractional coordinates of all 11 atoms:
S 0.000 0.722 0.158  0.01
S 0.500 0.777 0.845  0.02
S 0.500 0.223 0.155  0.02
S 0.000 0.278 0.842  0.01
C 0.000 0.500 0.500  0.01
C 0.500 0.000 0.500  0.01
Nb 0.500 0.624 0.361  0.01
Nb 0.500 0.376 0.639  0.01
Nb 0.000 0.118 0.362  0.00
Nb 0.000 0.882 0.638  0.00
Mn 0.000 0.000 0.000  3.46